## CrO (GGA+U)

Data for CrO after structural relaxation.

Its magnetic moment is 15.897 μB per cell. The raw total energy comes out at -7.327 eV/atom. As for the space-group type: I-43m (217). The volume is 16.869 A^3/atom.

Structure (POSCAR):
```
CrO
1.0
-3.231 3.231 3.231
3.231 -3.231 3.231
3.231 3.231 -3.231
Cr O
4 4
Direct
0.000 0.000 0.337
0.000 0.337 0.000
0.337 0.000 0.000
0.663 0.663 0.663
0.000 0.000 0.691
0.000 0.691 0.000
0.309 0.309 0.309
0.691 0.000 0.000
```